(1)
DFT (PBE) results for crystalline Sm3MgHg5 at its relaxed geometry.

Properties
Crystal system = hexagonal
Magnetization = 0.00 μB/atom
Formation enthalpy at 0 K = -443 meV/atom
VASP energy = -2.36 eV per atom

Lattice parameters (Å, degrees): 6.3776 9.1375 9.1375 120.00 90.00 90.00
With the nearest neighbours (Å) after each atom.
Sites, in units of the cell vectors:
Sm 0.2500 0.3609 0.0000  9 Hg 3.05-3.33
Hg 0.7500 0.2981 0.0000  5 Sm 3.05-3.24, 2 Mg 3.16
Hg 0.5000 0.3333 0.6667  2 Hg 3.19, 6 Sm 3.33
Hg 0.7500 0.7019 0.7019  5 Sm 3.05-3.24, 2 Mg 3.16
Mg 0.5000 0.0000 0.0000  6 Hg 3.16, 2 Mg 3.19
Hg 0.2500 0.2981 0.2981  5 Sm 3.05-3.24, 2 Mg 3.16
Mg 0.0000 0.0000 0.0000  6 Hg 3.16, 2 Mg 3.19
Sm 0.2500 0.6391 0.6391  9 Hg 3.05-3.33
Hg 0.2500 0.0000 0.7019  5 Sm 3.05-3.24, 2 Mg 3.16
Sm 0.7500 0.6391 0.0000  9 Hg 3.05-3.33
Hg 0.2500 0.7019 0.0000  5 Sm 3.05-3.24, 2 Mg 3.16
Sm 0.7500 0.3609 0.3609  9 Hg 3.05-3.33
Hg 0.0000 0.3333 0.6667  2 Hg 3.19, 6 Sm 3.33
Hg 0.7500 0.0000 0.2981  5 Sm 3.05-3.24, 2 Mg 3.16
Hg 0.0000 0.6667 0.3333  2 Hg 3.19, 6 Sm 3.33
Sm 0.2500 0.0000 0.3609  9 Hg 3.05-3.33
Hg 0.5000 0.6667 0.3333  2 Hg 3.19, 6 Sm 3.33
Sm 0.7500 0.0000 0.6391  9 Hg 3.05-3.33



(2)
DFT (PBE) results for crystalline Sm2Mg3Hg at its relaxed geometry.

Properties
Crystal system = hexagonal
Magnetization = 0.00 μB/atom
Formation enthalpy at 0 K = -201 meV/atom
VASP energy = -2.62 eV per atom

Lattice parameters (Å, degrees): 6.8092 10.2889 10.2889 120.00 90.00 90.00
With the nearest neighbours (Å) after each atom.
Sites, in units of the cell vectors:
Mg 0.5000 0.3363 0.1682  1 Hg 2.94, 2 Mg 3.00
Sm 0.2500 0.4999 0.9998  2 Sm 3.40, 8 Mg 3.41, 4 Hg 3.42
Mg 0.0000 0.3363 0.1682  1 Hg 2.94, 2 Mg 3.00
Mg 0.5000 0.6637 0.8318  1 Hg 2.94, 2 Mg 3.00
Sm 0.7500 0.9998 0.4999  2 Sm 3.40, 8 Mg 3.41, 4 Hg 3.42
Hg 0.4997 0.6667 0.3333  3 Mg 2.94
Mg 0.0000 0.8318 0.6637  1 Hg 2.94, 2 Mg 3.00
Sm 0.7500 0.0000 0.0000  2 Sm 3.40, 12 Mg 3.45
Hg 0.9997 0.3333 0.6667  3 Mg 2.94
Mg 0.0000 0.1682 0.8318  1 Hg 2.94, 2 Mg 3.00
Sm 0.7500 0.5001 0.0002  2 Sm 3.40, 8 Mg 3.41, 4 Hg 3.42
Mg 0.0000 0.1682 0.3363  1 Hg 2.94, 2 Mg 3.00
Sm 0.7500 0.5001 0.4999  2 Sm 3.40, 8 Mg 3.41, 4 Hg 3.42
Hg 0.0003 0.6667 0.3333  3 Mg 2.94
Sm 0.2500 0.0002 0.5001  2 Sm 3.40, 8 Mg 3.41, 4 Hg 3.42
Mg 0.5000 0.8318 0.6637  1 Hg 2.94, 2 Mg 3.00
Sm 0.2500 0.4999 0.5001  2 Sm 3.40, 8 Mg 3.41, 4 Hg 3.42
Mg 0.5000 0.8318 0.1682  1 Hg 2.94, 2 Mg 3.00
Mg 0.0000 0.6637 0.8318  1 Hg 2.94, 2 Mg 3.00
Mg 0.0000 0.8318 0.1682  1 Hg 2.94, 2 Mg 3.00
Mg 0.5000 0.1682 0.3363  1 Hg 2.94, 2 Mg 3.00
Mg 0.5000 0.1682 0.8318  1 Hg 2.94, 2 Mg 3.00
Hg 0.5003 0.3333 0.6667  3 Mg 2.94
Sm 0.2500 0.0000 0.0000  2 Sm 3.40, 12 Mg 3.45



(3)
DFT (PBE) results for crystalline Sm4MgHg3 at its relaxed geometry.

Properties
Crystal system = tetragonal
Magnetization = 0.15 μB/atom
Formation enthalpy at 0 K = -378 meV/atom
VASP energy = -3.05 eV per atom

Lattice parameters (Å, degrees): 3.8180 3.8180 15.0951 90.00 90.00 90.00
With the nearest neighbours (Å) after each atom.
Sites, in units of the cell vectors:
Hg 0.5000 0.5000 0.5000  8 Sm 3.28
Sm 0.0000 0.0000 0.3761  8 Hg 3.28-3.33
Sm 0.0000 0.0000 0.8728  4 Hg 3.24, 4 Mg 3.31
Sm 0.0000 0.0000 0.6239  8 Hg 3.28-3.33
Mg 0.5000 0.5000 0.0000  8 Sm 3.31
Hg 0.5000 0.5000 0.2464  8 Sm 3.24-3.33
Hg 0.5000 0.5000 0.7536  8 Sm 3.24-3.33
Sm 0.0000 0.0000 0.1272  4 Hg 3.24, 4 Mg 3.31



(4)
DFT (PBE) results for crystalline SmMgHg4 at its relaxed geometry.

Properties
Crystal system = triclinic
Magnetization = 0.00 μB/atom
Formation enthalpy at 0 K = -289 meV/atom
Relative energy among the computed polymorphs = 0 meV per atom
VASP energy = -1.54 eV per atom

Lattice parameters (Å, degrees): 4.2733 4.9103 7.2828 90.06 72.87 89.99
With the nearest neighbours (Å) after each atom.
Sites, in units of the cell vectors:
Hg 0.0149 0.4969 0.7214  6 Hg 3.06-3.26, 2 Mg 3.17-3.18, 2 Sm 3.18-3.19
Hg 0.4984 0.9967 0.7534  2 Mg 3.09-3.10, 2 Sm 3.26, 8 Hg 3.26-3.45
Mg 0.1589 0.9982 0.4319  10 Hg 3.07-3.26
Hg 0.6719 0.4978 0.4068  4 Hg 3.06-3.19, 2 Sm 3.22, 4 Mg 3.26
Hg 0.8187 0.9971 0.1145  2 Mg 3.07, 4 Hg 3.19-3.30, 4 Sm 3.27-3.28
Sm 0.3450 0.4971 0.0608  10 Hg 3.18-3.28, 2 Mg 3.56-3.57



(5)
DFT (PBE) results for crystalline Sm2MgHg8 at its relaxed geometry.

Properties
Crystal system = monoclinic
Magnetization = 0.00 μB/atom
Formation enthalpy at 0 K = -266 meV/atom
Relative energy among the computed polymorphs = 21 meV per atom
VASP energy = -1.49 eV per atom

Lattice parameters (Å, degrees): 4.8489 6.8703 8.9905 108.16 105.64 90.00
With the nearest neighbours (Å) after each atom.
Sites, in units of the cell vectors:
Mg 0.5000 0.0000 0.0000  8 Hg 2.86-3.12
Hg 0.6425 0.8753 0.2851  1 Mg 2.86, 5 Hg 3.02-3.20, 2 Sm 3.17
Sm 0.7877 0.3128 0.5753  10 Hg 3.17-3.50
Hg 0.8381 0.8194 0.6761  7 Hg 3.15-3.53, 3 Sm 3.19-3.30
Hg 0.3922 0.5847 0.7843  1 Mg 2.86, 3 Hg 3.02-3.18
Hg 0.9838 0.2701 0.9675  7 Hg 3.02-3.34, 2 Mg 3.12
Sm 0.2123 0.6872 0.4247  10 Hg 3.17-3.50
Hg 0.1619 0.1806 0.3239  7 Hg 3.15-3.53, 3 Sm 3.19-3.30
Hg 0.6078 0.4153 0.2157  1 Mg 2.86, 3 Hg 3.02-3.18
Hg 0.3575 0.1247 0.7149  1 Mg 2.86, 5 Hg 3.02-3.20, 2 Sm 3.17
Hg 0.0162 0.7299 0.0325  7 Hg 3.02-3.34, 2 Mg 3.12



(6)
DFT (PBE) results for crystalline SmMgHg at its relaxed geometry.

Properties
Crystal system = cubic
Magnetization = 0.23 μB/atom
Formation enthalpy at 0 K = -223 meV/atom
VASP energy = -2.43 eV per atom

Lattice parameters (Å, degrees): 4.9683 4.9683 4.9683 60.00 60.00 60.00
With the nearest neighbours (Å) after each atom.
Sites, in units of the cell vectors:
Mg 0.5000 0.5000 0.5000  4 Hg 3.04
Sm 0.0000 0.0000 0.0000  4 Hg 3.04
Hg 0.2500 0.2500 0.2500  4 Mg 3.04, 4 Sm 3.04



(7)
DFT (PBE) results for crystalline Sm6MgHg at its relaxed geometry.

Properties
Crystal system = tetragonal
Magnetization = 0.00 μB/atom
Formation enthalpy at 0 K = -127 meV/atom
VASP energy = -3.90 eV per atom

Lattice parameters (Å, degrees): 5.1786 5.1786 9.8836 74.81 74.81 90.00
With the nearest neighbours (Å) after each atom.
Sites, in units of the cell vectors:
Hg 0.5000 0.5000 0.0000  8 Sm 3.32, 4 Mg 3.66
Sm 0.7516 0.7515 0.4969  12 Sm 3.59-3.66
Sm 0.2484 0.2485 0.5031  12 Sm 3.59-3.66
Mg 0.0000 0.0000 0.0000  8 Sm 3.32, 4 Hg 3.66
Sm 0.1130 0.6130 0.7741  2 Hg 3.32, 2 Mg 3.32, 8 Sm 3.59-3.66
Sm 0.6130 0.1130 0.7741  2 Mg 3.32, 2 Hg 3.32, 8 Sm 3.59-3.66
Sm 0.8870 0.3870 0.2259  2 Hg 3.32, 2 Mg 3.32, 8 Sm 3.59-3.66
Sm 0.3870 0.8870 0.2259  2 Mg 3.32, 2 Hg 3.32, 8 Sm 3.59-3.66



(8)
DFT (PBE) results for crystalline Sm4MgHg7 at its relaxed geometry.

Properties
Crystal system = monoclinic
Magnetization = 0.00 μB/atom
Formation enthalpy at 0 K = -343 meV/atom
VASP energy = -2.22 eV per atom

Lattice parameters (Å, degrees): 5.3847 8.5156 8.3161 66.20 71.11 71.57
With the nearest neighbours (Å) after each atom.
Sites, in units of the cell vectors:
Mg 0.0000 0.0000 0.0000  4 Hg 2.69-2.92
Sm 0.7372 0.7399 0.7857  8 Hg 3.10-3.36
Hg 0.1872 0.9947 0.6310  1 Mg 2.92, 2 Sm 3.14-3.26
Sm 0.2628 0.2601 0.2143  8 Hg 3.10-3.36
Hg 0.5000 0.0000 0.0000  2 Mg 2.69
Sm 0.5716 0.2482 0.6086  8 Hg 3.06-3.35
Hg 0.3223 0.5358 0.8195  5 Sm 3.12-3.28, 2 Hg 3.18
Hg 0.6777 0.4642 0.1805  5 Sm 3.12-3.28, 2 Hg 3.18
Hg 0.9490 0.3729 0.7290  1 Mg 3.05, 3 Sm 3.13-3.14, 3 Hg 3.18-3.39
Hg 0.0510 0.6271 0.2710  1 Mg 3.05, 3 Sm 3.13-3.14, 3 Hg 3.18-3.39
Sm 0.4284 0.7518 0.3914  8 Hg 3.06-3.35
Hg 0.8128 0.0053 0.3690  1 Mg 2.92, 2 Sm 3.14-3.26



(9)
DFT (PBE) results for crystalline Sm3MgHg12 at its relaxed geometry.

Properties
Crystal system = tetragonal
Magnetization = 0.00 μB/atom
Formation enthalpy at 0 K = -291 meV/atom
VASP energy = -1.50 eV per atom

Lattice parameters (Å, degrees): 4.6836 4.6836 18.0455 90.00 90.00 90.00
With the nearest neighbours (Å) after each atom.
Sites, in units of the cell vectors:
Hg 0.0000 0.5000 0.8838  8 Hg 3.14-3.31, 2 Mg 3.14, 2 Sm 3.20
Hg 0.0000 0.5000 0.6287  8 Hg 3.26-3.31, 4 Sm 3.30-3.37
Hg 0.0000 0.5000 0.3713  8 Hg 3.26-3.31, 4 Sm 3.30-3.37
Hg 0.0000 0.5000 0.1162  8 Hg 3.14-3.31, 2 Mg 3.14, 2 Sm 3.20
Hg 0.5000 0.0000 0.6287  8 Hg 3.26-3.31, 4 Sm 3.30-3.37
Hg 0.5000 0.5000 0.5000  8 Hg 3.30, 4 Sm 3.31
Hg 0.5000 0.5000 0.7547  8 Hg 3.26-3.30, 4 Sm 3.32
Mg 0.0000 0.0000 0.0000  12 Hg 3.14-3.31
Hg 0.5000 0.0000 0.1162  8 Hg 3.14-3.31, 2 Mg 3.14, 2 Sm 3.20
Hg 0.5000 0.5000 0.0000  8 Hg 3.14, 4 Mg 3.31
Sm 0.0000 0.0000 0.2368  12 Hg 3.20-3.37
Sm 0.0000 0.0000 0.7632  12 Hg 3.20-3.37
Hg 0.5000 0.5000 0.2453  8 Hg 3.26-3.30, 4 Sm 3.32
Hg 0.5000 0.0000 0.3713  8 Hg 3.26-3.31, 4 Sm 3.30-3.37
Hg 0.5000 0.0000 0.8838  8 Hg 3.14-3.31, 2 Mg 3.14, 2 Sm 3.20
Sm 0.0000 0.0000 0.5000  12 Hg 3.30-3.31



(10)
DFT (PBE) results for crystalline Sm2Mg2Hg at its relaxed geometry.

Properties
Crystal system = monoclinic
Magnetization = 0.00 μB/atom
Formation enthalpy at 0 K = -211 meV/atom
VASP energy = -2.80 eV per atom

Lattice parameters (Å, degrees): 5.2320 5.2354 8.3324 50.95 89.93 119.94
With the nearest neighbours (Å) after each atom.
Sites, in units of the cell vectors:
Mg 0.6426 0.7848 0.5367  3 Mg 3.05-3.06, 1 Hg 3.07, 3 Sm 3.38-3.39
Sm 0.2026 0.9050 0.1961  3 Hg 3.22-3.23, 6 Mg 3.38-3.60, 1 Sm 3.47
Hg 0.0000 0.5000 0.0000  2 Mg 3.07, 6 Sm 3.22-3.23
Mg 0.3574 0.2152 0.4633  3 Mg 3.05-3.06, 1 Hg 3.07, 3 Sm 3.38-3.39
Sm 0.7974 0.0950 0.8039  3 Hg 3.22-3.23, 6 Mg 3.38-3.60, 1 Sm 3.47



(11)
DFT (PBE) results for crystalline Sm2MgHg3 at its relaxed geometry.

Properties
Crystal system = tetragonal
Magnetization = 0.04 μB/atom
Formation enthalpy at 0 K = -413 meV/atom
Relative energy among the computed polymorphs = 51 meV per atom
VASP energy = -2.40 eV per atom

Lattice parameters (Å, degrees): 3.7021 3.7021 11.0821 90.00 90.00 90.00
With the nearest neighbours (Å) after each atom.
Sites, in units of the cell vectors:
Sm 0.5000 0.5000 0.1762  8 Hg 3.25-3.27, 1 Mg 3.59
Hg 0.0000 0.0000 0.6500  4 Mg 3.10, 4 Sm 3.25, 1 Hg 3.32
Hg 0.0000 0.0000 0.3500  4 Mg 3.10, 4 Sm 3.25, 1 Hg 3.32
Hg 0.0000 0.0000 0.0000  8 Sm 3.27
Sm 0.5000 0.5000 0.8238  8 Hg 3.25-3.27, 1 Mg 3.59
Mg 0.5000 0.5000 0.5000  8 Hg 3.10



(12)
DFT (PBE) results for crystalline Sm6MgHg5 at its relaxed geometry.

Properties
Crystal system = monoclinic
Magnetization = 0.15 μB/atom
Formation enthalpy at 0 K = -408 meV/atom
VASP energy = -3.03 eV per atom

Lattice parameters (Å, degrees): 5.3462 7.6094 8.5196 90.00 108.28 90.00
With the nearest neighbours (Å) after each atom.
Sites, in units of the cell vectors:
Sm 0.5000 0.7429 0.0000  6 Hg 3.18-3.25, 2 Mg 3.31
Sm 0.5000 0.2571 0.0000  6 Hg 3.18-3.25, 2 Mg 3.31
Sm 0.8308 0.7518 0.6604  7 Hg 3.28-3.40, 1 Mg 3.33
Sm 0.1692 0.2482 0.3396  7 Hg 3.28-3.40, 1 Mg 3.33
Hg 0.0000 0.5000 0.0000  8 Sm 3.25-3.35
Sm 0.1692 0.7518 0.3396  7 Hg 3.28-3.40, 1 Mg 3.33
Hg 0.6544 0.0000 0.3104  8 Sm 3.18-3.40
Mg 0.0000 0.0000 0.0000  8 Sm 3.31-3.33, 4 Hg 3.66-3.67
Hg 0.6639 0.5000 0.3299  8 Sm 3.25-3.29
Hg 0.3456 0.0000 0.6896  8 Sm 3.18-3.40
Hg 0.3361 0.5000 0.6701  8 Sm 3.25-3.29
Sm 0.8308 0.2482 0.6604  7 Hg 3.28-3.40, 1 Mg 3.33